Zr5Ir2Os | PBE | optimized geometry

The structure in POSCAR format:
```
Zr5Ir2Os
1.0
8.039 0.000 0.000
-4.035 6.953 0.000
0.000 0.000 5.597
Zr Ir Os
10 4 2
Direct
0.667 0.332 0.251 Zr
0.332 0.667 0.251 Zr
0.332 0.667 0.749 Zr
0.667 0.332 0.749 Zr
0.761 0.004 0.500 Zr
0.004 0.761 0.500 Zr
0.240 0.240 0.500 Zr
0.240 0.000 0.000 Zr
0.000 0.240 0.000 Zr
0.758 0.758 0.000 Zr
0.602 0.602 0.500 Ir
0.601 0.999 0.000 Ir
0.999 0.601 0.000 Ir
0.398 0.398 0.000 Ir
0.399 0.000 0.500 Os
0.000 0.399 0.500 Os
```

Summary:
Symmetry = Amm2 (38)

---

Ta2TcAu | PBE | optimized geometry

The structure in POSCAR format:
```
Ta2TcAu
1.0
-0.670 -1.865 4.100
2.755 -1.540 -0.250
2.243 3.679 2.040
Au Ta Tc
1 2 1
Direct
0.500 0.625 0.817 Au
0.000 0.125 0.930 Ta
0.500 0.125 0.347 Ta
0.000 0.625 0.405 Tc
```

Summary:
Symmetry = Pmm2 (25)

---

Values for energy relative to the elements, eV per formula unit, ordered as above
-4.8 -0.2